This record from the Alexandria database describes a relaxed Ac2Dy5Y12 crystal. The functional is PBE.

## Properties
Space group = P-1
Energy of formation = 0.134 eV/atom
Relative energy among the computed polymorphs = 0.000 eV/atom

Unit cell a=7.1450 b=7.1895 c=14.5029 alpha=92.22 beta=96.94 gamma=118.79
Last column: nearest neighbours and their distance in Å.
Element x y z (fractional)
Ac  0.2460  0.2472  0.4969  4 Dy 3.56-3.59, 6 Y 3.56-3.66, 2 Ac 3.61-3.69
Ac  0.7540  0.7528  0.5031  4 Dy 3.56-3.59, 6 Y 3.56-3.66, 2 Ac 3.61-3.69
Dy  0.0000  0.5000  0.0000  2 Dy 3.38, 2 Y 3.52
Dy  0.2482  0.7483  0.4970  6 Y 3.55-3.76, 4 Ac 3.56-3.59, 2 Dy 3.64-3.66
Dy  0.4072  0.8597  0.8985  2 Dy 3.24-3.38, 6 Y 3.38-3.63
Dy  0.5928  0.1403  0.1015  2 Dy 3.24-3.38, 6 Y 3.38-3.63
Dy  0.7518  0.2517  0.5030  6 Y 3.55-3.76, 4 Ac 3.56-3.59, 2 Dy 3.64-3.66
Y  0.0083  0.3671  0.2851  3 Dy 3.41-3.76, 7 Y 3.46-3.66, 1 Ac 3.66
Y  0.0076  0.8619  0.2942  8 Y 3.36-3.68, 1 Dy 3.55, 2 Ac 3.58-3.63
Y  0.1123  0.1224  0.1033  5 Y 3.22-3.60, 2 Dy 3.38-3.52
Y  0.4024  0.3529  0.9036  3 Y 3.16-3.53
Y  0.4864  0.6326  0.7025  2 Dy 3.46-3.58, 8 Y 3.47-3.68, 2 Ac 3.56-3.61
Y  0.4896  0.1276  0.7054  3 Dy 3.41-3.62, 7 Y 3.51-3.66, 1 Ac 3.64
Y  0.5104  0.8724  0.2946  3 Dy 3.41-3.62, 7 Y 3.51-3.66, 1 Ac 3.64
Y  0.5136  0.3674  0.2975  2 Dy 3.46-3.58, 8 Y 3.47-3.68, 2 Ac 3.56-3.61
Y  0.5976  0.6471  0.0964  3 Y 3.16-3.53
Y  0.8877  0.8776  0.8967  5 Y 3.22-3.60, 2 Dy 3.38-3.52
Y  0.9924  0.1381  0.7058  8 Y 3.36-3.68, 1 Dy 3.55, 2 Ac 3.58-3.63
Y  0.9917  0.6329  0.7149  3 Dy 3.41-3.76, 7 Y 3.46-3.66, 1 Ac 3.66